PBE with a Hubbard U MoAsH2O6, relaxed; theoretical density = 4.790 g/cm3; E_tot = -5.999 eV/atom; space-group type = P-1, No. 2
1.0
4.656 0.000 0.000
2.254 4.451 0.000
2.217 1.599 4.498
Mo As H O
1 1 2 6
Cartesian
0.000 0.000 0.000 Mo
4.563 3.025 2.249 As
1.686 1.711 1.240 H
7.441 4.339 3.258 H
3.770 4.456 3.302 O
3.169 3.040 1.125 O
3.696 1.776 3.331 O
5.430 4.274 1.167 O
5.958 3.010 3.373 O
5.357 1.593 1.196 O